Record 1
DFT (PBE) results for a geometry-optimized UGa7Cu5 structure.

Lattice parameters (Å, degrees): 6.7205 6.7205 6.7205 134.63 97.45 99.66
Positions (direct):
U 0.0000 0.0000 0.0000
Ga 0.1865 0.4895 0.6970
Ga 0.2244 0.7244 0.5000
Ga 0.3493 0.0052 0.3441
Ga 0.3490 0.3490 0.0000
Ga 0.6538 0.6538 0.0000
Ga 0.6611 0.0052 0.6559
Ga 0.7925 0.4895 0.3030
Cu 0.4960 0.4988 0.5020
Cu 0.4960 0.9940 0.9972
Cu 0.7668 0.2668 0.5000
Cu 0.9968 0.4988 0.0028
Cu 0.9968 0.9940 0.4980

ΔH_f (0 K): -0.14 eV per atom
total moment: 2.798 Bohr magnetons per cell

Record 2
DFT (PBE) results for a geometry-optimized U2Ga8Cu structure.

Lattice parameters (Å, degrees): 4.2935 4.2935 11.1257 90.00 90.00 90.00
Positions (direct):
U 0.0000 0.0000 0.1905
U 0.0000 0.0000 0.8095
Ga 0.0000 0.5000 0.0000
Ga 0.0000 0.5000 0.3750
Ga 0.0000 0.5000 0.6250
Ga 0.5000 0.0000 0.0000
Ga 0.5000 0.0000 0.3750
Ga 0.5000 0.0000 0.6250
Ga 0.5000 0.5000 0.1908
Ga 0.5000 0.5000 0.8092
Cu 0.0000 0.0000 0.5000

ΔH_f (0 K): -0.21 eV per atom
total moment: 4.471 Bohr magnetons per cell

Record 3
DFT (PBE) results for a geometry-optimized UZnGa3Cu structure.

Lattice parameters (Å, degrees): 8.7468 8.7468 5.3669 90.00 90.00 145.99
Positions (direct):
U 0.1590 0.8410 0.7500
U 0.8410 0.1590 0.2500
Zn 0.3473 0.6527 0.7500
Zn 0.6527 0.3473 0.2500
Ga 0.2507 0.7493 0.2500
Ga 0.2563 0.2563 0.0000
Ga 0.2563 0.2563 0.5000
Ga 0.7437 0.7437 0.0000
Ga 0.7437 0.7437 0.5000
Ga 0.7493 0.2507 0.7500
Cu 0.1019 0.8981 0.2500
Cu 0.8981 0.1019 0.7500

ΔH_f (0 K): 0.13 eV per atom
total moment: 5.381 Bohr magnetons per cell

Record 4
DFT (PBE) results for a geometry-optimized V2Ga2Cu structure.

Lattice parameters (Å, degrees): 6.3021 6.3021 3.6047 90.00 90.00 90.00
Positions (direct):
V 0.1672 0.3328 0.0000
V 0.3328 0.8328 0.0000
V 0.6672 0.1672 0.0000
V 0.8328 0.6672 0.0000
Ga 0.1370 0.6370 0.5000
Ga 0.3630 0.1370 0.5000
Ga 0.6370 0.8630 0.5000
Ga 0.8630 0.3630 0.5000
Cu 0.0000 0.0000 0.5000
Cu 0.5000 0.5000 0.5000

ΔH_f (0 K): 0.04 eV per atom
total moment: 0.003 Bohr magnetons per cell

Record 5
DFT (PBE) results for a geometry-optimized VGa2Cu structure.

Lattice parameters (Å, degrees): 4.3395 4.3395 4.3395 60.00 60.00 60.00
Positions (direct):
V 0.0000 0.0000 0.0000
Ga 0.2500 0.2500 0.2500
Ga 0.7500 0.7500 0.7500
Cu 0.5000 0.5000 0.5000

ΔH_f (0 K): 0.03 eV per atom
total moment: 2.267 Bohr magnetons per cell

Record 6
DFT (PBE) results for a geometry-optimized VGa2Cu structure.

Lattice parameters (Å, degrees): 8.6738 8.6738 8.6738 18.44 18.44 18.44
Positions (direct):
V 0.0000 0.0000 0.0000
Ga 0.2492 0.2492 0.2492
Ga 0.7508 0.7508 0.7508
Cu 0.5000 0.5000 0.5000

ΔH_f (0 K): -0.04 eV per atom
total moment: 0.000 Bohr magnetons per cell

Record 7
DFT (PBE) results for a geometry-optimized VGa4Cu2 structure.

Lattice parameters (Å, degrees): 6.9394 6.9394 6.9394 139.83 139.83 58.11
Positions (direct):
V 0.0000 0.0000 0.0000
Ga 0.0000 0.5000 0.5000
Ga 0.2028 0.2028 0.0000
Ga 0.5000 0.0000 0.5000
Ga 0.7972 0.7972 0.0000
Cu 0.3994 0.3994 0.0000
Cu 0.6006 0.6006 0.0000

ΔH_f (0 K): 0.39 eV per atom
total moment: 0.988 Bohr magnetons per cell

Record 8
DFT (PBE) results for a geometry-optimized VGa2Cu structure.

Lattice parameters (Å, degrees): 5.4790 5.4790 5.4790 103.97 103.97 121.14
Positions (direct):
V 0.0000 0.0000 0.0000
V 0.7500 0.2500 0.5000
Ga 0.1467 0.6250 0.0217
Ga 0.3750 0.3967 0.5217
Ga 0.6033 0.1250 0.9783
Ga 0.8750 0.8533 0.4783
Cu 0.2500 0.7500 0.5000
Cu 0.5000 0.5000 0.0000

ΔH_f (0 K): 0.20 eV per atom
total moment: 0.001 Bohr magnetons per cell

Record 9
DFT (PBE) results for a geometry-optimized V2GaCu2 structure.

Lattice parameters (Å, degrees): 6.7289 6.7289 3.0082 90.00 90.00 90.00
Positions (direct):
V 0.1730 0.3270 0.0000
V 0.3270 0.8270 0.0000
V 0.6730 0.1730 0.0000
V 0.8270 0.6730 0.0000
Ga 0.0000 0.0000 0.5000
Ga 0.5000 0.5000 0.5000
Cu 0.1248 0.6248 0.5000
Cu 0.3752 0.1248 0.5000
Cu 0.6248 0.8752 0.5000
Cu 0.8752 0.3752 0.5000

ΔH_f (0 K): 0.21 eV per atom
total moment: 0.000 Bohr magnetons per cell

Record 10
DFT (PBE) results for a geometry-optimized VGa2Cu structure.

Lattice parameters (Å, degrees): 5.0268 5.0268 5.0268 47.71 47.71 47.71
Positions (direct):
V 0.0000 0.0000 0.0000
Ga 0.5829 0.5829 0.5829
Ga 0.7853 0.7853 0.7853
Cu 0.2007 0.2007 0.2007

ΔH_f (0 K): 0.10 eV per atom
total moment: 2.303 Bohr magnetons per cell

Record 11
DFT (PBE) results for a geometry-optimized V4Ga2Cu structure.

Lattice parameters (Å, degrees): 4.2058 5.1809 9.1815 90.00 103.24 90.00
Positions (direct):
V 0.0704 0.2500 0.1576
V 0.2062 0.7500 0.4122
V 0.3575 0.5050 0.7150
V 0.3575 0.9950 0.7150
V 0.6425 0.0050 0.2850
V 0.6425 0.4950 0.2850
V 0.7938 0.2500 0.5878
V 0.9296 0.7500 0.8424
Ga 0.2170 0.2500 0.4341
Ga 0.4860 0.2500 0.9904
Ga 0.5140 0.7500 0.0096
Ga 0.7830 0.7500 0.5659
Cu 0.0779 0.7500 0.1408
Cu 0.9221 0.2500 0.8592

ΔH_f (0 K): 0.02 eV per atom
total moment: 0.010 Bohr magnetons per cell

Record 12
DFT (PBE) results for a geometry-optimized VGa2Cu structure.

Lattice parameters (Å, degrees): 3.8849 3.8849 3.6505 90.00 90.00 90.00
Positions (direct):
V 0.0000 0.0000 0.0000
Ga 0.0000 0.5000 0.5000
Ga 0.5000 0.0000 0.5000
Cu 0.5000 0.5000 0.0000

ΔH_f (0 K): -0.17 eV per atom
total moment: 0.000 Bohr magnetons per cell

Record 13
DFT (PBE) results for a geometry-optimized VGaCu3 structure.

Lattice parameters (Å, degrees): 4.6480 4.6480 4.6480 90.00 90.00 90.00
Positions (direct):
V 0.0000 0.0000 0.0000
Ga 0.5000 0.5000 0.5000
Cu 0.0000 0.0000 0.5000
Cu 0.0000 0.5000 0.0000
Cu 0.5000 0.0000 0.0000

ΔH_f (0 K): 1.20 eV per atom
total moment: 2.840 Bohr magnetons per cell